No. 1
A geometry-optimized NaLiCePb structure. Source: Alexandria, functional PBE.

The structure in POSCAR format:
```
NaLiCePb
1.0
5.387 0.000 0.000
2.693 4.665 0.000
2.693 1.555 4.398
Ce Li Na Pb
1 1 1 1
Cartesian
5.387 3.110 2.199
2.693 1.555 1.100
0.000 0.000 0.000
8.080 4.665 3.299
```

## Properties
**Formation energy from the elements**: -0.104 eV/atom
**Crystal system**: cubic


No. 2
A geometry-optimized Na3LiCe3S8 structure. Source: Alexandria, functional PBE.

The structure in POSCAR format:
```
Na3LiCe3S8
1.0
-0.183 7.572 -2.758
-5.650 -5.267 -2.304
0.098 2.756 7.560
S Na Ce Li
8 3 3 1
Cartesian
-2.705 1.256 3.629
-0.170 2.674 1.352
-5.476 -1.327 2.499
-5.566 2.387 1.147
-3.031 3.805 -1.130
-2.900 -0.026 0.122
-0.260 6.388 -0.001
-2.836 5.087 2.376
-2.825 -2.633 -1.152
-2.917 1.153 -2.531
0.000 0.000 0.000
-2.776 -1.255 2.628
-2.868 2.531 1.249
-0.043 5.164 2.401
0.049 1.378 3.780
```

## Properties
**Crystal system**: trigonal
**Energy**: -0.3908 Ry per atom


No. 3
A geometry-optimized NaLiCeS3 structure. Source: Alexandria, functional PBE.

The structure in POSCAR format:
```
NaLiCeS3
1.0
-2.098 -2.383 -2.619
1.532 -7.738 5.814
-6.026 2.090 2.926
S Ce Li Na
6 2 2 2
Cartesian
-4.446 -2.782 4.478
-1.964 -6.102 5.509
-2.145 -5.249 1.644
-6.312 -6.065 5.726
-0.279 -1.966 0.395
-4.628 -1.929 0.612
-0.180 -5.620 3.642
-6.411 -2.411 2.479
-4.472 0.399 1.602
-2.120 -8.430 4.519
-2.361 -2.265 2.335
-4.231 -5.766 3.786
```

## Properties
**Crystal system**: monoclinic
**Energy**: -0.3764 Ry per atom


No. 4
A geometry-optimized NaLi3Ce2S6 structure. Source: Alexandria, functional PBE.

The structure in POSCAR format:
```
NaLi3Ce2S6
1.0
-0.570 2.563 3.063
-7.369 0.942 -2.159
-0.373 -7.641 3.668
S Li Ce Na
6 3 2 1
Cartesian
-1.200 -0.855 3.149
-2.897 -4.807 6.141
-4.729 -0.325 2.049
-7.113 -3.281 1.422
-3.583 -3.811 2.523
-5.415 0.672 -1.570
-3.970 1.753 0.452
-6.337 -1.268 -0.118
-1.975 -2.867 4.689
-5.746 -2.432 3.623
-2.566 -1.703 0.948
-0.285 1.282 1.531
```

## Properties
**Crystal system**: monoclinic
**Energy**: -0.3792 Ry per atom


No. 5
A geometry-optimized Na2LiCe3S6 structure. Source: Alexandria, functional PBE.

The structure in POSCAR format:
```
Na2LiCe3S6
1.0
7.125 0.000 0.000
-3.561 6.171 0.000
-1.189 -2.059 6.499
S Ce Na Li
6 3 2 1
Cartesian
3.543 2.089 4.810
0.039 4.113 4.810
-0.020 -0.034 4.804
2.336 -0.001 1.689
2.394 4.146 1.695
-1.168 2.023 1.689
4.743 0.003 3.250
-2.368 4.109 3.250
1.187 2.056 3.250
0.004 4.112 0.000
3.560 2.058 0.000
0.000 0.000 0.000
```

## Properties
**Crystal system**: monoclinic
**Energy**: -0.4153 Ry per atom


No. 6
A geometry-optimized Na2Li2CeSe4 structure. Source: Alexandria, functional PBE.

The structure in POSCAR format:
```
Na2Li2CeSe4
1.0
4.210 0.000 0.000
-2.105 7.657 -0.413
0.000 -3.041 6.998
Se Li Na Ce
4 2 2 1
Cartesian
0.000 5.385 4.794
2.105 1.991 5.391
2.105 -0.770 1.791
0.000 2.624 1.194
0.000 4.837 -0.142
2.105 -0.222 6.727
0.000 0.658 3.681
2.105 3.957 2.904
0.000 0.000 0.000
```

## Properties
**Crystal system**: monoclinic
**Energy**: -0.3138 Ry per atom


No. 7
A geometry-optimized NaLiCe2Te4 structure. Source: Alexandria, functional PBE.

The structure in POSCAR format:
```
NaLiCe2Te4
1.0
4.535 0.000 0.000
0.000 7.731 -0.105
0.000 2.765 7.355
Ce Na Te Li
2 1 4 1
Cartesian
2.267 1.382 3.677
0.000 2.765 7.355
0.000 5.248 3.625
4.535 2.626 1.773
2.268 6.488 1.723
2.267 4.008 5.527
0.000 7.870 5.477
2.267 3.865 -0.053
```

## Properties
**Crystal system**: monoclinic
**Energy**: -0.3448 Ry per atom


No. 8
A geometry-optimized LiCe2Nb structure. Source: Alexandria, functional PBE.

The structure in POSCAR format:
```
LiCe2Nb
1.0
2.991 0.000 0.000
1.495 2.590 0.000
1.495 0.863 11.836
Li Nb Ce
1 1 2
Cartesian
0.000 0.000 0.000
2.991 1.727 5.918
1.495 0.863 8.711
4.486 2.590 3.124
```

## Properties
**Formation energy from the elements**: 0.248 eV/atom
**Crystal system**: trigonal


No. 9
A geometry-optimized LiCeNbO6 structure. Source: Alexandria, functional PBE.

The structure in POSCAR format:
```
LiCeNbO6
1.0
-3.050 -3.771 0.916
4.044 -3.429 -0.651
-1.041 2.016 4.836
O Nb Ce Li
6 1 1 1
Cartesian
-0.782 -3.928 0.518
0.258 -1.578 1.664
2.467 -3.109 2.716
1.405 -5.417 1.671
1.812 -3.261 -0.091
-0.213 -3.705 3.338
0.824 -3.500 1.636
0.654 0.201 3.007
-1.525 -1.886 0.458
```

## Properties
**Crystal system**: trigonal
**Energy**: -0.5501 Ry per atom


No. 10
A geometry-optimized Li2CeNbO6 structure. Source: Alexandria, functional PBE.

The structure in POSCAR format:
```
Li2CeNbO6
1.0
-1.062 -4.091 3.286
-2.303 -4.439 -1.910
3.273 -4.726 -0.465
O Nb Li Ce
6 1 2 1
Cartesian
-0.340 -4.563 1.369
-1.540 -7.610 1.866
-1.607 -6.277 -1.165
1.462 -7.066 1.713
0.456 -8.390 -0.378
1.442 -5.928 -0.705
-0.833 -2.967 0.398
-0.402 -6.476 0.530
2.949 -4.587 -0.397
-0.856 -9.605 0.848
```

## Properties
**Crystal system**: trigonal
**Energy**: -0.5428 Ry per atom


No. 11
A geometry-optimized Li2CeNd structure. Source: Alexandria, functional PBE.

The structure in POSCAR format:
```
Li2CeNd
1.0
3.222 0.000 0.000
1.611 2.791 0.000
1.611 0.930 12.161
Ce Li Nd
1 2 1
Cartesian
0.000 0.000 0.000
1.611 0.930 8.983
4.834 2.791 3.178
3.222 1.860 6.081
```

## Properties
**Formation energy from the elements**: 0.282 eV/atom
**Crystal system**: trigonal


No. 12
A geometry-optimized LiCeNd structure. Source: Alexandria, functional PBE.

The structure in POSCAR format:
```
LiCeNd
1.0
-0.267 0.644 3.407
-1.006 -3.284 0.542
7.417 -0.609 -1.079
Ce Nd Li
1 1 1
Cartesian
4.597 -1.308 0.607
1.554 -1.944 2.264
6.137 -3.248 2.869
```

## Properties
**Formation energy from the elements**: 0.175 eV/atom
**Crystal system**: tetragonal


No. 13
A geometry-optimized LiCeNd structure. Source: Alexandria, functional PBE.

The structure in POSCAR format:
```
LiCeNd
1.0
3.523 0.000 0.000
0.000 3.523 0.000
0.000 0.000 13.133
Li Nd Ce
2 2 2
Cartesian
1.762 0.000 0.712
0.000 1.762 12.421
0.000 1.762 3.037
1.762 0.000 10.096
1.762 0.000 5.485
0.000 1.762 7.648
```

## Properties
**Formation energy from the elements**: 0.061 eV/atom
**Crystal system**: tetragonal


No. 14
A geometry-optimized Li2CeNd structure. Source: Alexandria, functional PBE.

The structure in POSCAR format:
```
Li2CeNd
1.0
-0.395 -2.159 -2.431
-1.115 -2.211 2.144
-9.262 3.293 -1.421
Li Nd Ce
2 1 1
Cartesian
-2.323 0.826 -0.356
-6.938 2.467 -1.064
-0.755 -2.185 -0.143
-5.386 -0.538 -0.854
```

## Properties
**Formation energy from the elements**: 0.241 eV/atom
**Crystal system**: tetragonal


No. 15
A geometry-optimized Li4CeNd structure. Source: Alexandria, functional PBE.

The structure in POSCAR format:
```
Li4CeNd
1.0
5.917 0.000 0.000
2.958 5.124 0.000
2.958 1.708 4.831
Li Ce Nd
4 1 1
Cartesian
5.917 3.416 0.614
4.445 4.265 3.016
5.917 1.717 3.016
7.388 4.265 3.016
0.000 0.000 0.000
2.958 1.708 1.208
```

## Properties
**Formation energy from the elements**: 0.177 eV/atom
**Crystal system**: cubic


No. 16
A geometry-optimized LiCeNd structure. Source: Alexandria, functional PBE.

The structure in POSCAR format:
```
LiCeNd
1.0
-0.962 -3.103 -1.157
3.304 0.965 -0.197
1.429 -3.316 7.708
Ce Nd Li
1 1 1
Cartesian
1.420 -3.296 7.662
0.943 -2.866 1.765
2.837 -2.607 4.634
```

## Properties
**Formation energy from the elements**: 0.165 eV/atom
**Crystal system**: trigonal


No. 17
A geometry-optimized Li2Ce2NdPb2 structure. Source: Alexandria, functional PBE.

The structure in POSCAR format:
```
Li2Ce2NdPb2
1.0
4.687 0.000 0.000
2.343 4.059 0.000
2.343 1.353 9.403
Li Ce Pb Nd
2 2 2 1
Cartesian
4.687 2.706 7.093
4.687 2.706 2.310
2.343 1.353 5.315
7.030 4.059 4.089
2.343 1.353 1.935
7.030 4.059 7.468
0.000 0.000 0.000
```

## Properties
**Formation energy from the elements**: -0.311 eV/atom
**Crystal system**: trigonal


No. 18
A geometry-optimized LiCeNdPb structure. Source: Alexandria, functional PBE.

The structure in POSCAR format:
```
LiCeNdPb
1.0
-4.751 -1.571 2.190
-0.436 -0.638 5.407
-2.954 3.533 2.937
Ce Li Pb Nd
1 1 1 1
Cartesian
-2.035 0.331 2.634
0.000 0.000 0.000
-4.070 0.662 5.267
-6.106 0.993 7.901
```

## Properties
**Formation energy from the elements**: -0.204 eV/atom
**Crystal system**: cubic


No. 19
A geometry-optimized LiCePrNd structure. Source: Alexandria, functional PBE.

The structure in POSCAR format:
```
LiCePrNd
1.0
5.528 0.000 0.000
2.764 4.788 0.000
2.764 1.596 4.514
Li Ce Nd Pr
1 1 1 1
Cartesian
0.000 0.000 0.000
5.528 3.192 2.257
2.764 1.596 1.128
8.293 4.788 3.385
```

## Properties
**Formation energy from the elements**: 0.271 eV/atom
**Crystal system**: cubic


No. 20
A geometry-optimized LiCeNdRe structure. Source: Alexandria, functional PBE.

The structure in POSCAR format:
```
LiCeNdRe
1.0
-4.126 2.183 1.849
-2.552 -2.201 3.722
0.064 1.992 4.609
Nd Li Re Ce
1 1 1 1
Cartesian
-4.961 1.480 7.634
0.000 0.000 0.000
-3.307 0.987 5.089
-1.654 0.493 2.545
```

## Properties
**Formation energy from the elements**: 0.159 eV/atom
**Crystal system**: cubic


No. 21
A geometry-optimized LiCeNdRu structure. Source: Alexandria, functional PBE.

The structure in POSCAR format:
```
LiCeNdRu
1.0
-0.469 3.265 3.794
-4.452 0.610 2.256
-0.693 -1.677 4.689
Nd Li Ce Ru
1 1 1 1
Cartesian
0.000 0.000 0.000
-1.403 0.550 2.685
-2.807 1.099 5.369
-4.210 1.649 8.054
```

## Properties
**Formation energy from the elements**: -0.090 eV/atom
**Crystal system**: cubic


No. 22
A geometry-optimized LiCe3Nd2S6 structure. Source: Alexandria, functional PBE.

The structure in POSCAR format:
```
LiCe3Nd2S6
1.0
-2.536 -1.287 6.362
6.864 -0.340 -1.158
-0.878 6.905 -0.227
Ce S Li Nd
3 6 1 2
Cartesian
4.851 2.954 -0.012
-1.401 2.324 4.989
1.725 2.639 2.489
3.068 0.471 3.894
0.382 4.807 1.083
-0.682 1.149 2.427
1.092 3.822 4.982
2.358 1.456 -0.004
4.132 4.128 2.550
0.000 0.000 0.000
0.600 -0.971 3.853
3.728 -0.656 1.351
```

## Properties
**Crystal system**: monoclinic
**Energy**: -0.4731 Ry per atom


No. 23
A geometry-optimized LiCe2Nd3S6 structure. Source: Alexandria, functional PBE.

The structure in POSCAR format:
```
LiCe2Nd3S6
1.0
6.968 -0.008 -0.005
-3.489 6.031 -0.005
-1.165 -2.018 6.581
Nd S Ce Li
3 6 2 1
Cartesian
4.652 -0.016 3.285
1.157 2.003 3.285
-2.339 4.022 3.285
2.274 -0.007 1.587
3.456 2.040 4.984
-1.143 1.966 1.587
2.345 4.061 1.574
-0.032 -0.055 4.997
0.039 4.013 4.984
3.472 2.011 -0.005
0.007 4.012 -0.005
0.000 0.000 0.000
```

## Properties
**Crystal system**: monoclinic
**Energy**: -0.4669 Ry per atom


No. 24
A geometry-optimized LiCeNdS3 structure. Source: Alexandria, functional PBE.

The structure in POSCAR format:
```
LiCeNdS3
1.0
3.911 0.000 0.000
0.000 8.334 0.238
0.000 -1.952 8.336
S Li Nd Ce
6 2 2 2
Cartesian
2.933 3.124 1.540
0.978 5.635 4.437
2.933 7.280 1.354
2.933 0.747 4.137
0.978 3.258 7.034
0.978 -0.898 7.220
2.933 6.796 3.694
0.978 -0.414 4.880
0.978 5.174 1.562
2.933 1.208 7.012
0.978 1.046 1.842
2.933 5.336 6.732
```

## Properties
**Crystal system**: monoclinic
**Energy**: -0.4384 Ry per atom


No. 25
A geometry-optimized Li3Ce2NdS6 structure. Source: Alexandria, functional PBE.

The structure in POSCAR format:
```
Li3Ce2NdS6
1.0
-2.616 -5.277 -3.832
5.089 -1.244 4.683
-5.088 1.123 4.072
S Ce Li Nd
6 2 3 1
Cartesian
-3.162 -0.792 3.236
-3.227 -4.712 2.236
-0.645 -3.360 5.091
-1.971 -2.038 -0.167
0.546 -4.606 1.687
0.612 -0.686 2.687
-0.047 -3.932 -0.993
2.520 -2.589 1.844
-1.308 -2.699 2.462
-3.875 -4.043 -0.376
1.259 -1.355 5.299
0.000 0.000 0.000
```

## Properties
**Crystal system**: monoclinic
**Energy**: -0.4166 Ry per atom